A geometry-optimized Tm4AgSb structure, computed with PBE-GGA.

## Properties
mass density: 9.28 g/cm³
space group: F-43m
raw formation energy: -442 meV per atom

a b c (Å): 9.713 9.713 9.713
angles (deg): 60.00 60.00 60.00
Element x y z (fractional)
1 Tm 0.937 0.937 0.563
2 Tm 0.563 0.937 0.937
3 Tm 0.937 0.563 0.937
4 Tm 0.184 0.816 0.816
5 Tm 0.816 0.184 0.184
6 Tm 0.816 0.816 0.184
7 Tm 0.372 0.372 0.372
8 Tm 0.184 0.184 0.816
9 Tm 0.816 0.184 0.816
10 Tm 0.372 0.372 0.885
11 Tm 0.372 0.885 0.372
12 Tm 0.937 0.563 0.563
13 Tm 0.885 0.372 0.372
14 Tm 0.563 0.563 0.937
15 Tm 0.563 0.937 0.563
16 Tm 0.184 0.816 0.184
17 Ag 0.156 0.156 0.531
18 Ag 0.156 0.531 0.156
19 Ag 0.531 0.156 0.156
20 Ag 0.156 0.156 0.156
21 Sb 0.209 0.597 0.597
22 Sb 0.597 0.597 0.597
23 Sb 0.597 0.209 0.597
24 Sb 0.597 0.597 0.209

=====

A geometry-optimized Tm3AgSb2 structure, computed with PBE-GGA.

## Properties
mass density: 8.48 g/cm³
space group: C2/c
raw formation energy: -644 meV per atom

a b c (Å): 6.069 8.645 7.412
angles (deg): 106.96 114.17 90.00
Element x y z (fractional)
1 Sb 0.333 0.917 0.667
2 Sb 0.667 0.083 0.333
3 Sb 0.334 0.417 0.667
4 Sb 0.666 0.583 0.333
5 Tm 0.169 0.585 0.338
6 Tm 0.831 0.415 0.662
7 Tm 0.169 0.085 0.338
8 Tm 0.831 0.915 0.662
9 Tm 0.502 0.250 0.000
10 Tm 0.498 0.750 0.000
11 Ag 0.998 0.750 0.000
12 Ag 0.002 0.250 0.000

=====

A geometry-optimized Tm4Ag5Sb7 structure, computed with PBE-GGA.

## Properties
mass density: 9.03 g/cm³
space group: I-42m
raw formation energy: -533 meV per atom

a b c (Å): 6.001 6.001 11.379
angles (deg): 105.29 105.29 90.00
Element x y z (fractional)
1 Sb 0.395 0.395 0.310
2 Sb 0.500 0.000 0.000
3 Sb 0.086 0.605 0.690
4 Sb 0.500 0.500 0.000
5 Sb 0.000 0.500 0.000
6 Sb 0.914 0.914 0.310
7 Sb 0.605 0.086 0.690
8 Ag 0.253 0.253 0.506
9 Ag 0.747 0.747 0.494
10 Ag 0.250 0.750 0.500
11 Ag 0.000 0.000 0.000
12 Ag 0.750 0.250 0.500
13 Tm 0.858 0.378 0.235
14 Tm 0.142 0.142 0.765
15 Tm 0.378 0.858 0.235
16 Tm 0.622 0.622 0.765

=====

A geometry-optimized UAgSb2 structure, computed with PBE-GGA.

## Properties
mass density: 10.41 g/cm³
space group: P4/mmm
raw formation energy: -187 meV per atom

a b c (Å): 4.012 4.842 4.842
angles (deg): 90.00 90.00 90.00
Site moments in Bohr magnetons follow the coordinates.
Element x y z (fractional)
1 Sb 0.000 0.500 0.000  -0.05
2 Sb 0.000 0.000 0.500  -0.05
3 Ag 0.500 0.000 0.000  0.00
4 U 0.500 0.500 0.500  1.73

=====

> Number 1 is which compound?

Tm4AgSb

=====

> The highest mass density belongs to which entry?

UAgSb2

=====

> Among the records above, which one has the highest raw formation energy?

UAgSb2

=====

> raw formation energy of number 1 (Tm4AgSb)?

-442 meV per atom